{"formula": "CuNi3Pt3", "functional": "PBE", "state": "relaxed", "lattice": [[2.916, 1.683, 6.582], [-2.916, 1.683, 6.582], [0.000, -3.367, 6.582]], "species": ["Cu", "Cu", "Ni", "Ni", "Ni", "Ni", "Ni", "Ni", "Pt", "Pt", "Pt", "Pt", "Pt", "Pt"], "frac_coords": [[0.200, 0.200, 0.200], [0.800, 0.800, 0.800], [0.095, 0.564, 0.261], [0.261, 0.095, 0.564], [0.436, 0.739, 0.905], [0.564, 0.261, 0.095], [0.739, 0.905, 0.436], [0.905, 0.436, 0.739], [0.223, 0.754, 0.342], [0.246, 0.658, 0.777], [0.342, 0.223, 0.754], [0.658, 0.777, 0.246], [0.754, 0.342, 0.223], [0.777, 0.246, 0.658]], "final_energy_ha_per_atom": -0.20320, "m_tot_mub_per_fu": 3.2, "n_ef_per_ev_fu": 9.5}